Compound: CrCuNF2
Source: Alexandria
Functional: GGA+U
Structure: optimized geometry

Cell: 3.873 3.873 3.955 Å, 90.00 90.00 90.00°
Space group P4/mmm (No. 123)
Asymmetric unit:
Cr 0.000 0.000 0.000 (multiplicity 1)
Cu 0.500 0.500 0.500 (multiplicity 1)
N 0.000 0.000 0.500 (multiplicity 1)
F 0.000 0.500 0.000 (multiplicity 2)

=====

Compound: SiMo3O
Source: Alexandria
Functional: GGA+U
Structure: optimized geometry

Cell: 4.137 4.137 4.137 Å, 90.00 90.00 90.00°
Space group Pm-3m (No. 221)
Asymmetric unit:
Si 0.000 0.000 0.000 (multiplicity 1)
Mo 0.000 0.500 0.500 (multiplicity 3)
O 0.500 0.500 0.500 (multiplicity 1)

=====

Quick rundown of energy above the most stable polymorph in this dataset, same order as above: 0; 0 meV/atom